1.
This record from Alexandria describes ScTe3 after structural relaxation. The functional is GGA-PBEsol.

The total energy is -4.4532 eV/atom. The calculation puts the volume at 26.158 Å³ per atom.

The space group is Pm-3m (No. 221) and the conventional cell measures 4.712, 4.712 and 4.712 Å, with angles of 90.00, 90.00 and 90.00 degrees. The asymmetric unit holds Sc at (0.000, 0.000, 0.000) and Te at (0.000, 0.500, 0.500).

***

2.
This record from Alexandria describes ScTe after structural relaxation. The functional is GGA-PBEsol.

The total energy is -6.2893 eV/atom. The calculation puts the volume at 24.538 Å³ per atom.

The space group is P6_3/mmc (No. 194) and the conventional cell measures 4.0408, 4.0408 and 6.9413 Å, with angles of 90.00, 90.00 and 120.00 degrees. The asymmetric unit holds Sc at (0.0000, 0.0000, 0.0000) and Te at (0.3333, 0.6667, 0.2500).

***

Question: Number 2 is which compound?
Answer: ScTe